LiTl2V3F12 PBE+U relaxed; uncorrected energy = -99.6 eV per cell
1.0
7.3678 -0.0579 -0.0410
3.5883 6.4352 -0.0410
3.5883 2.0887 6.0870
V Tl Li F
3 2 1 12
direct
0.0000 0.0000 0.5000
0.5000 0.0000 0.0000
0.0000 0.5000 0.0000
0.6508 0.6508 0.6508
0.3492 0.3492 0.3492
0.0000 0.0000 0.0000
0.6853 0.6853 0.0700
0.6853 0.0700 0.6853
0.6630 0.0766 0.0766
0.3147 0.9300 0.3147
0.3370 0.9234 0.9234
0.9234 0.9234 0.3370
0.0766 0.6630 0.0766
0.9300 0.3147 0.3147
0.0766 0.0766 0.6630
0.9234 0.3370 0.9234
0.0700 0.6853 0.6853
0.3147 0.3147 0.9300